Density functional theory data (GGA+U) for CaVCuHO5 after structural relaxation.

Geometry as POSCAR:
```
CaVCuHO5
1.0
5.844 0.000 0.000
0.000 7.442 0.000
0.000 0.000 9.639
Ca V Cu H O
4 4 4 4 20
direct
0.022 0.126 0.182
0.478 0.874 0.682
0.522 0.374 0.818
0.978 0.626 0.318
0.015 0.619 0.658
0.485 0.381 0.158
0.515 0.881 0.342
0.985 0.119 0.842
0.247 0.745 0.999
0.253 0.255 0.499
0.747 0.755 0.001
0.753 0.245 0.501
0.021 0.989 0.479
0.479 0.011 0.979
0.521 0.511 0.521
0.979 0.489 0.021
0.002 0.934 0.963
0.006 0.109 0.431
0.075 0.800 0.552
0.240 0.143 0.752
0.248 0.607 0.769
0.252 0.393 0.269
0.260 0.857 0.252
0.425 0.200 0.052
0.494 0.891 0.931
0.498 0.066 0.463
0.502 0.566 0.037
0.506 0.391 0.569
0.575 0.700 0.448
0.740 0.357 0.248
0.748 0.893 0.231
0.752 0.107 0.731
0.760 0.643 0.748
0.925 0.300 0.948
0.994 0.609 0.069
0.998 0.434 0.537
```

Computed properties:
magnetization: 1.0 μB per formula unit
VASP energy: -6.4264 eV per atom